Density functional theory data (PBE-GGA) for a relaxed structure of In2RuRh2.

Calculated values
Volume, Å³ per atom: 17.4
M_tot, μB/f.u.: 2.08
ρ, g/cm3: 10.22
E_form, eV/atom: 0.110
Final energy, eV/atom: -5.782
Space group: P4/mbm

a b c (Å): 7.4817 7.4817 3.1134
angles (deg): 90.00 90.00 90.00
Element x y z (fractional)
In 0.1676 0.3324 0.0000
In 0.3324 0.8324 0.0000
In 0.6676 0.1676 0.0000
In 0.8324 0.6676 0.0000
Ru 0.0000 0.0000 0.5000
Ru 0.5000 0.5000 0.5000
Rh 0.1318 0.6318 0.5000
Rh 0.3682 0.1318 0.5000
Rh 0.6318 0.8682 0.5000
Rh 0.8682 0.3682 0.5000



Density functional theory data (PBE-GGA) for a relaxed structure of CsIN2O.

Calculated values
Volume, Å³ per atom: 37.4
Formation energy (no corrections), kJ/mol of formula units: 1177
M_tot, μB/f.u.: 7.42
ρ, g/cm3: 2.70
Final energy, eV/atom: -2.363
Space group: P4/mmm

a b c (Å): 5.0067 5.0067 7.4541
angles (deg): 90.00 90.00 90.00
Element x y z (fractional)
Cs 0.0000 0.0000 0.0000
I 0.0000 0.0000 0.5000
N 0.0000 0.5000 0.0000
N 0.5000 0.0000 0.0000
O 0.5000 0.5000 0.5000